# CdNiAs2F GGA+U relaxed
# Total magnetization: 1.14 μB per cell
# Uncorrected energy: -13.92 eV per cell
data_CdNiAs2F
_chemical_formula_sum 'Cd1 Ni1 As2 F1'
_symmetry_space_group_name_H-M 'P 4/m m m'
_symmetry_Int_Tables_number 123
_symmetry_space_group_name_Hall '-P 4 2'
_cell_length_a 4.8216
_cell_length_b 4.8216
_cell_length_c 3.9617
_cell_angle_alpha 90.00
_cell_angle_beta 90.00
_cell_angle_gamma 90.00
loop_
_atom_site_label
_atom_site_type_symbol
_atom_site_fract_x
_atom_site_fract_y
_atom_site_fract_z
Cd1 Cd 0.0000 0.0000 0.0000
Ni1 Ni 0.5000 0.5000 0.0000
As1 As 0.0000 0.5000 0.5000
F1 F 0.5000 0.5000 0.5000